1.
Here is an optimized crystal structure of In2SbAs from the Alexandria database. Energies are from PBE.

It has space group I-42d (No. 122), with a = 6.410 Å, b = 6.410 Å, c = 12.771 Å, α = 90.00°, β = 90.00° and γ = 90.00°. The inequivalent atoms are In at (0.228, 0.250, 0.125), Sb at (0.000, 0.000, 0.500) and As at (0.000, 0.000, 0.000).

---

2.
Here is an optimized crystal structure of In2SbAs from the Alexandria database. Energies are from PBE.

It has space group R3m (No. 160, hexagonal axes), with a = 4.5336 Å, b = 4.5336 Å, c = 22.1994 Å, α = 90.00°, β = 90.00° and γ = 120.00°. The inequivalent atoms are In at (0.0000, 0.0000, 0.0000), In at (0.0000, 0.0000, 0.4904), Sb at (0.0000, 0.0000, 0.8708) and As at (0.0000, 0.0000, 0.3699).

---

3.
Here is an optimized crystal structure of InSbAs2 from the Alexandria database. Energies are from PBE.

It has space group Pm (No. 6), with a = 3.045 Å, b = 5.656 Å, c = 6.031 Å, α = 90.00°, β = 104.40° and γ = 90.00°. The inequivalent atoms are In at (0.000, 0.000, 0.000), Sb at (0.250, 0.500, 0.528), As at (0.022, 0.500, 0.066) and As at (0.269, 0.000, 0.560).

---

4.
Here is an optimized crystal structure of InSb2As from the Alexandria database. Energies are from PBE.

It has space group I-42d (No. 122), with a = 6.325 Å, b = 6.325 Å, c = 14.228 Å, α = 90.00°, β = 90.00° and γ = 90.00°. The inequivalent atoms are In at (0.000, 0.000, 0.000), Sb at (0.234, 0.250, 0.625) and As at (0.000, 0.000, 0.500).

---

| no. | E_form (uncorrected) (meV/atom) | magnetization (μB/f.u.) | calculated total energy (Ha/atom) |
| --- | --- | --- | --- |
| 1 | -172 | 0.00 | -0.1372 |
| 2 | -153 | 0.00 | -0.1365 |
| 3 | 106 | 0.00 | -0.1446 |
| 4 | 159 | 0.00 | -0.1378 |